Below is a geometry-optimized Na2V3O8 structure, with properties calculated at the PBE+U level.

Output
The total energy is -6.85 eV per atom. As for the volume: 12.21 Å³ per atom. As for the space group: C2/m, No. 12.

Unit cell a=6.5284 b=6.5284 c=4.8943 alpha=107.58 beta=107.58 gamma=53.96
With the nearest neighbours (Å) after each atom.
Element x y z (fractional)
Na 0.2302 0.2302 0.1668  6 O 2.34-2.54
Na 0.7698 0.7698 0.8332  6 O 2.34-2.54
V 0.2232 0.7768 0.5000  4 O 1.86-1.87
V 0.5000 0.5000 0.0000  6 O 1.88-1.91
V 0.7768 0.2232 0.5000  4 O 1.86-1.87
O 0.1042 0.1042 0.4515  2 V 1.86
O 0.1826 0.6309 0.1104  2 V 1.87-1.91
O 0.3691 0.8174 0.8896  2 V 1.87-1.91
O 0.4064 0.4064 0.6015  1 V 1.88
O 0.5936 0.5936 0.3985  1 V 1.88
O 0.6309 0.1826 0.1104  2 V 1.87-1.91
O 0.8174 0.3691 0.8896  2 V 1.87-1.91
O 0.8958 0.8958 0.5485  2 V 1.86